(1)
The following is a meta-GGA SCAN calculation of a crystal of CsPdBr3 relaxed with PBEsol, from Alexandria.

```
CsPdBr3
1.0
5.192 0.000 0.000
0.000 5.192 0.000
0.000 0.000 5.192
Cs Pd Br
1 1 3
Direct
0.000 0.000 0.000
0.500 0.500 0.500
0.000 0.500 0.500
0.500 0.000 0.500
0.500 0.500 0.000
```

Calculated values
* total magnetic moment: 0.00 μB/atom
* energy relative to the elements, uncorrected: -1.06 eV per atom

(2)
The following is a meta-GGA SCAN calculation of a crystal of SnS2O8 relaxed with PBEsol, from Alexandria.

```
SnS2O8
1.0
9.086 0.000 0.000
0.000 13.412 0.000
0.000 0.000 9.355
Sn S O
8 16 64
Direct
0.108 0.127 0.140
0.108 0.373 0.640
0.392 0.627 0.140
0.392 0.873 0.640
0.608 0.127 0.360
0.608 0.373 0.860
0.892 0.627 0.360
0.892 0.873 0.860
0.065 0.721 0.081
0.065 0.779 0.581
0.188 0.013 0.843
0.188 0.487 0.343
0.312 0.513 0.843
0.312 0.987 0.343
0.435 0.221 0.081
0.435 0.279 0.581
0.565 0.721 0.419
0.565 0.779 0.919
0.688 0.013 0.657
0.688 0.487 0.157
0.812 0.513 0.657
0.812 0.987 0.157
0.935 0.221 0.419
0.935 0.279 0.919
0.009 0.724 0.234
0.009 0.776 0.734
0.012 0.639 0.000
0.012 0.861 0.500
0.024 0.677 0.523
0.024 0.823 0.023
0.029 0.510 0.309
0.029 0.990 0.809
0.201 0.023 0.003
0.201 0.477 0.503
0.229 0.082 0.313
0.229 0.418 0.813
0.231 0.729 0.091
0.231 0.771 0.591
0.236 0.098 0.766
0.236 0.402 0.266
0.264 0.598 0.766
0.264 0.902 0.266
0.269 0.229 0.091
0.269 0.271 0.591
0.271 0.582 0.313
0.271 0.918 0.813
0.299 0.523 0.003
0.299 0.977 0.503
0.471 0.010 0.309
0.471 0.490 0.809
0.476 0.177 0.523
0.476 0.323 0.023
0.488 0.139 0.000
0.488 0.361 0.500
0.491 0.224 0.234
0.491 0.276 0.734
0.509 0.724 0.266
0.509 0.776 0.766
0.512 0.639 0.500
0.512 0.861 0.000
0.524 0.677 0.977
0.524 0.823 0.477
0.529 0.510 0.191
0.529 0.990 0.691
0.701 0.023 0.497
0.701 0.477 0.997
0.729 0.082 0.187
0.729 0.418 0.687
0.731 0.729 0.409
0.731 0.771 0.909
0.736 0.098 0.734
0.736 0.402 0.234
0.764 0.598 0.734
0.764 0.902 0.234
0.769 0.229 0.409
0.769 0.271 0.909
0.771 0.582 0.187
0.771 0.918 0.687
0.799 0.523 0.497
0.799 0.977 0.997
0.971 0.010 0.191
0.971 0.490 0.691
0.976 0.177 0.977
0.976 0.323 0.477
0.988 0.139 0.500
0.988 0.361 0.000
0.991 0.224 0.266
0.991 0.276 0.766
```

Calculated values
* total magnetic moment: 0.00 μB/atom
* energy relative to the elements, uncorrected: -1.52 eV per atom

(3)
The following is a meta-GGA SCAN calculation of a crystal of Si4P4Ru relaxed with PBEsol, from Alexandria.

```
Si4P4Ru
1.0
4.924 0.000 0.000
1.845 5.296 0.000
2.274 -0.291 5.709
Si P Ru
4 4 1
Direct
0.000 0.000 0.000
0.118 0.251 0.450
0.432 0.432 0.794
0.606 0.629 0.259
0.101 0.881 0.329
0.387 0.065 0.689
0.526 0.297 0.132
0.920 0.670 0.886
0.762 0.657 0.568
```

Calculated values
* total magnetic moment: 0.00 μB/atom
* energy relative to the elements, uncorrected: -0.41 eV per atom

(4)
The following is a meta-GGA SCAN calculation of a crystal of ScBeIn3 relaxed with PBEsol, from Alexandria.

```
ScBeIn3
1.0
4.785 0.000 0.000
0.000 4.785 0.000
0.000 0.000 4.785
Sc Be In
1 1 3
Direct
0.000 0.000 0.000
0.500 0.500 0.500
0.000 0.500 0.500
0.500 0.000 0.500
0.500 0.500 0.000
```

Calculated values
* total magnetic moment: 0.00 μB/atom
* ΔH_f (0 K): 20 kJ/mol of atoms

(5)
The following is a meta-GGA SCAN calculation of a crystal of TlMoSeBr2 relaxed with PBEsol, from Alexandria.

```
TlMoSeBr2
1.0
5.408 0.000 0.000
0.000 5.408 0.000
0.000 0.000 5.366
Tl Mo Se Br
1 1 1 2
Direct
0.000 0.000 0.000
0.500 0.500 0.500
0.000 0.000 0.500
0.000 0.500 0.000
0.500 0.000 0.000
```

Calculated values
* total magnetic moment: 0.91 μB/atom
* energy relative to the elements, uncorrected: 0.67 eV per atom

(6)
The following is a meta-GGA SCAN calculation of a crystal of KInPb2 relaxed with PBEsol, from Alexandria.

```
KInPb2
1.0
-1.855 2.931 5.707
1.855 -2.931 5.707
1.855 2.931 -5.707
K In Pb
1 1 2
Direct
0.000 0.000 0.000
0.500 0.500 0.000
0.274 0.774 0.500
0.726 0.226 0.500
```

Calculated values
* total magnetic moment: 0.00 μB/atom
* ΔH_f (0 K): -7 kJ/mol of atoms

(7)
The following is a meta-GGA SCAN calculation of a crystal of CsBi2N relaxed with PBEsol, from Alexandria.

```
CsBi2N
1.0
0.000 5.324 5.324
5.324 0.000 5.324
5.324 5.324 0.000
Cs Bi N
2 4 2
Direct
0.125 0.125 0.125
0.875 0.875 0.875
0.000 0.500 0.500
0.500 0.000 0.500
0.500 0.500 0.000
0.500 0.500 0.500
0.375 0.375 0.375
0.625 0.625 0.625
```

Calculated values
* total magnetic moment: 0.00 μB/atom
* energy relative to the elements, uncorrected: 0.63 eV per atom

(8)
The following is a meta-GGA SCAN calculation of a crystal of ReSiTc relaxed with PBEsol, from Alexandria.

```
ReSiTc
1.0
-1.452 1.452 4.708
1.452 -1.452 4.708
1.452 1.452 -4.708
Re Si Tc
1 1 1
Direct
0.000 0.000 0.000
0.661 0.661 0.000
0.317 0.317 0.000
```

Calculated values
* total magnetic moment: 0.00 μB/atom
* energy relative to the elements, uncorrected: -0.37 eV per atom